## LiSnB (GGA-PBE)

Data for a relaxed LiSnB crystal.

a b c (Å): 3.8913 3.8913 6.0547
angles (deg): 90.00 90.00 90.00
Sites, in units of the cell vectors:
B  0.0000  0.0000  0.2500
B  0.0000  0.0000  0.7500
Sn  0.0000  0.5000  0.0000
Sn  0.5000  0.0000  0.5000
Li  0.0000  0.5000  0.5000
Li  0.5000  0.0000  0.0000

Computed properties:
Calculated formation energy, eV/atom: 0.46
SG: No. 131
DFT total energy, eV/atom: -3.739



## CsKGa2I8 (GGA-PBE)

Data for a relaxed CsKGa2I8 crystal.

a b c (Å): 7.7925 7.7925 12.1124
angles (deg): 71.24 71.24 60.00
Sites, in units of the cell vectors:
Cs  0.5000  0.5000  0.5000
K  0.0000  0.0000  0.0000
Ga  0.2446  0.2446  0.2663
Ga  0.7554  0.7554  0.7337
I  0.1680  0.1680  0.4961
I  0.5572  0.3186  0.1924
I  0.8320  0.8320  0.5039
I  0.9319  0.5572  0.1924
I  0.0681  0.4428  0.8076
I  0.3186  0.9319  0.1924
I  0.6814  0.0681  0.8076
I  0.4428  0.6814  0.8076

Computed properties:
SG: No. 148
Energy relative to the elements, uncorrected, eV/atom: -0.8799
DFT total energy, eV/atom: -2.580